This record from the Alexandria database describes an optimized crystal structure of ZrPaMnOs. The functional is PBE.

Summary:
ΔH_f (0 K) = -0.12 eV/atom
spin magnetization = 0.0 μB per cell
energy = -9.7325 eV/atom

Cell lengths 6.6569, 6.6569, 6.6569 Å; angles 90.00, 90.00, 90.00 degrees
Last column: nearest neighbours and their distance in Å.
Space group F-43m (No. 216)
One atom of each set of equivalent atoms:
Zr 0.0000 0.0000 0.0000 x4  4 Mn 2.88, 4 Os 2.88
Pa 0.0000 0.0000 0.5000 x4  4 Os 2.88, 4 Mn 2.88
Mn 0.2500 0.2500 0.7500 x4  4 Zr 2.88, 4 Pa 2.88
Os 0.2500 0.2500 0.2500 x4  4 Zr 2.88, 4 Pa 2.88

***

This record from the Alexandria database describes an optimized crystal structure of MnOs2Pb. The functional is PBE.

Summary:
ΔH_f (0 K) = 0.72 eV/atom
spin magnetization = 7.1 μB per cell
energy = -8.1142 eV/atom

Cell lengths 2.8982, 2.8982, 27.8862 Å; angles 90.00, 90.00, 120.00 degrees
Last column: nearest neighbours and their distance in Å.
Space group R-3m (No. 166, hexagonal axes)
One atom of each set of equivalent atoms:
Mn 0.0000 0.0000 0.0000 x3  6 Os 2.56
Os 0.0000 0.0000 0.2639 x6  3 Mn 2.56
Pb 0.0000 0.0000 0.5000 x3  6 Pb 2.90, 6 Os 3.19

***

This record from the Alexandria database describes an optimized crystal structure of Mn2OsPb. The functional is PBE.

Summary:
ΔH_f (0 K) = 0.62 eV/atom
spin magnetization = 13.2 μB per cell
energy = -7.6999 eV/atom

Cell lengths 8.4087, 3.0417, 5.4922 Å; angles 90.00, 99.77, 90.00 degrees
Last column: nearest neighbours and their distance in Å.
Space group C2/m (No. 12)
One atom of each set of equivalent atoms:
Mn 0.2397 0.0000 0.1997 x4  3 Os 2.61, 2 Mn 2.70, 1 Pb 2.81
Os 0.0000 0.5000 0.0000 x2  6 Mn 2.61
Pb 0.0000 0.0000 0.5000 x2  6 Mn 2.81-2.93, 2 Pb 3.04, 4 Os 3.14

***

This record from the Alexandria database describes an optimized crystal structure of MnOs2Pb. The functional is PBE.

Summary:
ΔH_f (0 K) = 0.74 eV/atom
spin magnetization = 5.1 μB per cell
energy = -8.0906 eV/atom

Cell lengths 3.9893, 3.9893, 8.0800 Å; angles 90.00, 90.00, 90.00 degrees
Last column: nearest neighbours and their distance in Å.
Space group I-4m2 (No. 119)
One atom of each set of equivalent atoms:
Mn 0.0000 0.0000 0.0000 x2  8 Os 2.82-2.84, 4 Pb 2.84
Os 0.0000 0.0000 0.5000 x2  4 Mn 2.82, 4 Pb 2.84, 4 Os 2.84
Os 0.0000 0.5000 0.7500 x2  4 Pb 2.82, 4 Os 2.84, 4 Mn 2.84
Pb 0.0000 0.5000 0.2500 x2  8 Os 2.82-2.84, 4 Mn 2.84

***

Please write out number 1 again, unchanged.
This record from the Alexandria database describes an optimized crystal structure of ZrPaMnOs. The functional is PBE.

Summary:
ΔH_f (0 K) = -0.12 eV/atom
spin magnetization = 0.0 μB per cell
energy = -9.7325 eV/atom

Cell lengths 6.6569, 6.6569, 6.6569 Å; angles 90.00, 90.00, 90.00 degrees
Last column: nearest neighbours and their distance in Å.
Space group F-43m (No. 216)
One atom of each set of equivalent atoms:
Zr 0.0000 0.0000 0.0000 x4  4 Mn 2.88, 4 Os 2.88
Pa 0.0000 0.0000 0.5000 x4  4 Os 2.88, 4 Mn 2.88
Mn 0.2500 0.2500 0.7500 x4  4 Zr 2.88, 4 Pa 2.88
Os 0.2500 0.2500 0.2500 x4  4 Zr 2.88, 4 Pa 2.88

***

Repeat the third record exactly.
This record from the Alexandria database describes an optimized crystal structure of Mn2OsPb. The functional is PBE.

Summary:
ΔH_f (0 K) = 0.62 eV/atom
spin magnetization = 13.2 μB per cell
energy = -7.6999 eV/atom

Cell lengths 8.4087, 3.0417, 5.4922 Å; angles 90.00, 99.77, 90.00 degrees
Last column: nearest neighbours and their distance in Å.
Space group C2/m (No. 12)
One atom of each set of equivalent atoms:
Mn 0.2397 0.0000 0.1997 x4  3 Os 2.61, 2 Mn 2.70, 1 Pb 2.81
Os 0.0000 0.5000 0.0000 x2  6 Mn 2.61
Pb 0.0000 0.0000 0.5000 x2  6 Mn 2.81-2.93, 2 Pb 3.04, 4 Os 3.14

***

- What is the formula in the second record?
  MnOs2Pb